Entry P
Compound: GeMoAs2Se
Source: Alexandria
Functional: GGA-PBE
Structure: optimized geometry

The structure in POSCAR format:
```
GeMoAs2Se
1.0
4.8681 0.0000 0.0000
0.0000 4.8681 0.0000
0.0000 0.0000 5.0256
Ge Mo As Se
1 1 2 1
Direct
0.0000 0.0000 0.0000
0.5000 0.5000 0.5000
0.0000 0.5000 0.5000
0.5000 0.0000 0.5000
0.5000 0.5000 0.0000
```

total magnetization	0.26	μB/f.u.
crystal system	tetragonal
V	23.8	Å³ per atom

Entry Q
Compound: GeMoAs2Se
Source: Alexandria
Functional: GGA-PBE
Structure: optimized geometry

The structure in POSCAR format:
```
GeMoAs2Se
1.0
4.8420 0.0000 0.0000
0.0000 4.8420 0.0000
0.0000 0.0000 4.9329
Ge Mo As Se
1 1 2 1
Direct
0.0000 0.0000 0.0000
0.5000 0.5000 0.5000
0.0000 0.5000 0.0000
0.5000 0.0000 0.0000
0.0000 0.0000 0.5000
```

total magnetization	2.75	μB/f.u.
crystal system	tetragonal
V	23.1	Å³ per atom

Among the structures above, stability is smallest for entry Q.